[1]
Material: Pr2Pu2N7
Method: DFT, PBE-GGA
State: optimized geometry

Raw formation energy (eV/atom): -0.5824
Uncorrected energy (eV for the cell shown): -205.8
N(E_F) (states/eV/f.u.): 8.18

Geometry as CIF:
```
data_Pr2Pu2N7
_cell_length_a 7.1085
_cell_length_b 8.0119
_cell_length_c 5.5422
_cell_angle_alpha 90.00
_cell_angle_beta 90.00
_cell_angle_gamma 90.00
_space_group_name_H-M_alt 'C m m m'
_space_group_IT_number 65
_space_group_name_Hall '-C 2 2'
loop_
_atom_site_label
_atom_site_type_symbol
_atom_site_fract_x
_atom_site_fract_y
_atom_site_fract_z
_atom_site_occupancy
Pr1 Pr 0.2488 0.0000 0.0000 1
Pu1 Pu 0.0000 0.2742 0.5000 1
N1 N 0.0000 0.0000 0.5000 1
N2 N 0.0000 0.5000 0.2763 1
N3 N 0.2500 0.2500 0.2741 1
```

[2]
Material: PrPu2N
Method: DFT, PBE-GGA
State: optimized geometry

Raw formation energy (eV/atom): 0.0369
Uncorrected energy (eV for the cell shown): -124.9
N(E_F) (states/eV/f.u.): 7.76

Geometry as CIF:
```
data_PrPu2N
_cell_length_a 3.9655
_cell_length_b 3.9655
_cell_length_c 19.4938
_cell_angle_alpha 90.00
_cell_angle_beta 90.00
_cell_angle_gamma 120.00
_space_group_name_H-M_alt 'R -3 m'
_space_group_IT_number 166
_space_group_name_Hall '-R 3 2"'
loop_
_atom_site_label
_atom_site_type_symbol
_atom_site_fract_x
_atom_site_fract_y
_atom_site_fract_z
_atom_site_occupancy
Pr1 Pr 0.0000 0.0000 0.0000 1
Pu1 Pu 0.0000 0.0000 0.1884 1
N1 N 0.0000 0.0000 0.5000 1
```

[3]
Material: Pr2Pu2N5
Method: DFT, PBE-GGA
State: optimized geometry

Raw formation energy (eV/atom): -1.0879
Uncorrected energy (eV for the cell shown): -358.6
N(E_F) (states/eV/f.u.): 11.60

Geometry as CIF:
```
data_Pr2Pu2N5
_cell_length_a 16.9105
_cell_length_b 6.0980
_cell_length_c 5.8207
_cell_angle_alpha 90.00
_cell_angle_beta 90.00
_cell_angle_gamma 90.00
_space_group_name_H-M_alt 'I m a 2'
_space_group_IT_number 46
_space_group_name_Hall 'I 2 -2a'
loop_
_atom_site_label
_atom_site_type_symbol
_atom_site_fract_x
_atom_site_fract_y
_atom_site_fract_z
_atom_site_occupancy
Pr1 Pr 0.1132 0.0175 0.0000 1
Pu1 Pu 0.0000 0.0000 0.5085 1
Pu2 Pu 0.2500 0.5436 0.0316 1
N1 N 0.0203 0.7457 0.2619 1
N2 N 0.1292 0.0861 0.5201 1
N3 N 0.2500 0.6050 0.4068 1
```

[4]
Material: Pr3PuN4
Method: DFT, PBE-GGA
State: optimized geometry

Raw formation energy (eV/atom): -1.2589
Uncorrected energy (eV for the cell shown): -72.0
N(E_F) (states/eV/f.u.): 8.44
Distance to the lowest polymorph of the same formula (meV per atom): 10

Geometry as CIF:
```
data_Pr3PuN4
_cell_length_a 3.6434
_cell_length_b 3.6434
_cell_length_c 10.2456
_cell_angle_alpha 90.00
_cell_angle_beta 90.00
_cell_angle_gamma 90.00
_space_group_name_H-M_alt 'P 4/m m m'
_space_group_IT_number 123
_space_group_name_Hall '-P 4 2'
loop_
_atom_site_label
_atom_site_type_symbol
_atom_site_fract_x
_atom_site_fract_y
_atom_site_fract_z
_atom_site_occupancy
Pr1 Pr 0.0000 0.0000 0.0000 1
Pr2 Pr 0.5000 0.5000 0.2534 1
Pu1 Pu 0.0000 0.0000 0.5000 1
N1 N 0.0000 0.0000 0.2706 1
N2 N 0.5000 0.5000 0.0000 1
N3 N 0.5000 0.5000 0.5000 1
```

[5]
Material: Pr2PuN4
Method: DFT, PBE-GGA
State: optimized geometry

Raw formation energy (eV/atom): -1.1924
Uncorrected energy (eV for the cell shown): -131.1
N(E_F) (states/eV/f.u.): 3.07

Geometry as CIF:
```
data_Pr2PuN4
_cell_length_a 6.0858
_cell_length_b 9.9737
_cell_length_c 3.6033
_cell_angle_alpha 90.00
_cell_angle_beta 90.00
_cell_angle_gamma 90.00
_space_group_name_H-M_alt 'P b a m'
_space_group_IT_number 55
_space_group_name_Hall '-P 2 2ab'
loop_
_atom_site_label
_atom_site_type_symbol
_atom_site_fract_x
_atom_site_fract_y
_atom_site_fract_z
_atom_site_occupancy
Pr1 Pr 0.0697 0.1771 0.0000 1
Pu1 Pu 0.0000 0.5000 0.5000 1
N1 N 0.1314 0.6847 0.5000 1
N2 N 0.2228 0.4519 0.0000 1
```

[6]
Material: PrPuN
Method: DFT, PBE-GGA
State: optimized geometry

Raw formation energy (eV/atom): -0.1470
Uncorrected energy (eV for the cell shown): -111.5
N(E_F) (states/eV/f.u.): 7.76
Distance to the lowest polymorph of the same formula (meV per atom): 573

Geometry as CIF:
```
data_PrPuN
_cell_length_a 6.1904
_cell_length_b 6.1904
_cell_length_c 6.1904
_cell_angle_alpha 90.00
_cell_angle_beta 90.00
_cell_angle_gamma 90.00
_space_group_name_H-M_alt 'F -4 3 m'
_space_group_IT_number 216
_space_group_name_Hall 'F -4 2 3'
loop_
_atom_site_label
_atom_site_type_symbol
_atom_site_fract_x
_atom_site_fract_y
_atom_site_fract_z
_atom_site_occupancy
Pr1 Pr 0.0000 0.0000 0.0000 1
Pu1 Pu 0.0000 0.0000 0.5000 1
N1 N 0.2500 0.2500 0.2500 1
```

[7]
Material: Pr2PuN3
Method: DFT, PBE-GGA
State: optimized geometry

Raw formation energy (eV/atom): -1.2743
Uncorrected energy (eV for the cell shown): -113.0
N(E_F) (states/eV/f.u.): 7.36
Distance to the lowest polymorph of the same formula (meV per atom): 0

Geometry as CIF:
```
data_Pr2PuN3
_cell_length_a 3.5939
_cell_length_b 5.1261
_cell_length_c 10.8334
_cell_angle_alpha 90.00
_cell_angle_beta 90.00
_cell_angle_gamma 90.00
_space_group_name_H-M_alt 'I m m m'
_space_group_IT_number 71
_space_group_name_Hall '-I 2 2'
loop_
_atom_site_label
_atom_site_type_symbol
_atom_site_fract_x
_atom_site_fract_y
_atom_site_fract_z
_atom_site_occupancy
Pr1 Pr 0.0000 0.0000 0.1650 1
Pu1 Pu 0.0000 0.0000 0.5000 1
N1 N 0.0000 0.5000 0.1452 1
N2 N 0.0000 0.5000 0.5000 1
```

[8]
Material: PrPu2N4
Method: DFT, PBE-GGA
State: optimized geometry

Raw formation energy (eV/atom): -1.1715
Uncorrected energy (eV for the cell shown): -299.8
N(E_F) (states/eV/f.u.): 11.53

Geometry as CIF:
```
data_PrPu2N4
_cell_length_a 3.4568
_cell_length_b 11.3907
_cell_length_c 10.6243
_cell_angle_alpha 90.00
_cell_angle_beta 90.00
_cell_angle_gamma 90.00
_space_group_name_H-M_alt 'C m c m'
_space_group_IT_number 63
_space_group_name_Hall '-C 2c 2'
loop_
_atom_site_label
_atom_site_type_symbol
_atom_site_fract_x
_atom_site_fract_y
_atom_site_fract_z
_atom_site_occupancy
Pr1 Pr 0.0000 0.1066 0.2500 1
Pu1 Pu 0.0000 0.3676 0.0688 1
N1 N 0.0000 0.0000 0.0000 1
N2 N 0.0000 0.2706 0.6032 1
N3 N 0.0000 0.4535 0.2500 1
```

[9]
Material: Pr2PuReN6
Method: DFT, PBE-GGA
State: optimized geometry

Raw formation energy (eV/atom): -0.8145
Uncorrected energy (eV for the cell shown): -188.9
N(E_F) (states/eV/f.u.): 4.14

Geometry as CIF:
```
data_Pr2PuReN6
_cell_length_a 5.7818
_cell_length_b 5.7764
_cell_length_c 9.9159
_cell_angle_alpha 90.00
_cell_angle_beta 125.10
_cell_angle_gamma 90.00
_space_group_name_H-M_alt 'P 1 21/c 1'
_space_group_IT_number 14
_space_group_name_Hall '-P 2ybc'
loop_
_atom_site_label
_atom_site_type_symbol
_atom_site_fract_x
_atom_site_fract_y
_atom_site_fract_z
_atom_site_occupancy
Pr1 Pr 0.2395 0.0336 0.2485 1
Pu1 Pu 0.5000 0.0000 0.0000 1
Re1 Re 0.0000 0.0000 0.5000 1
N1 N 0.1706 0.2221 0.9562 1
N2 N 0.2236 0.7119 0.9555 1
N3 N 0.3231 0.0127 0.7419 1
```

[10]
Material: Pr2PuReN5
Method: DFT, PBE-GGA
State: optimized geometry

Raw formation energy (eV/atom): -0.8563
Uncorrected energy (eV for the cell shown): -342.7
N(E_F) (states/eV/f.u.): 11.38

Geometry as CIF:
```
data_Pr2PuReN5
_cell_length_a 6.8164
_cell_length_b 6.8164
_cell_length_c 11.6256
_cell_angle_alpha 90.00
_cell_angle_beta 90.00
_cell_angle_gamma 90.00
_space_group_name_H-M_alt 'I 4/m c m'
_space_group_IT_number 140
_space_group_name_Hall '-I 4 2c'
loop_
_atom_site_label
_atom_site_type_symbol
_atom_site_fract_x
_atom_site_fract_y
_atom_site_fract_z
_atom_site_occupancy
Pr1 Pr 0.1737 0.3263 0.0000 1
Pu1 Pu 0.0000 0.0000 0.2500 1
Re1 Re 0.0000 0.5000 0.2500 1
N1 N 0.0000 0.0000 0.0000 1
N2 N 0.1502 0.3498 0.3486 1
```

[11]
Material: Pr2PuReN4
Method: DFT, PBE-GGA
State: optimized geometry

Raw formation energy (eV/atom): -0.7227
Uncorrected energy (eV for the cell shown): -301.7
N(E_F) (states/eV/f.u.): 8.15

Geometry as CIF:
```
data_Pr2PuReN4
_cell_length_a 3.4911
_cell_length_b 12.1026
_cell_length_c 12.2655
_cell_angle_alpha 90.00
_cell_angle_beta 90.00
_cell_angle_gamma 90.00
_space_group_name_H-M_alt 'C m c m'
_space_group_IT_number 63
_space_group_name_Hall '-C 2c 2'
loop_
_atom_site_label
_atom_site_type_symbol
_atom_site_fract_x
_atom_site_fract_y
_atom_site_fract_z
_atom_site_occupancy
Pr1 Pr 0.0000 0.1323 0.0390 1
Pu1 Pu 0.0000 0.3763 0.2500 1
Re1 Re 0.0000 0.3521 0.7500 1
N1 N 0.0000 0.0717 0.2500 1
N2 N 0.0000 0.2271 0.6414 1
N3 N 0.0000 0.5000 0.0000 1
```

[12]
Material: PrPu2RuN4
Method: DFT, PBE-GGA
State: optimized geometry

Raw formation energy (eV/atom): -0.9098
Uncorrected energy (eV for the cell shown): -333.2
N(E_F) (states/eV/f.u.): 13.00

Geometry as CIF:
```
data_PrPu2RuN4
_cell_length_a 3.4041
_cell_length_b 11.7341
_cell_length_c 11.6376
_cell_angle_alpha 90.00
_cell_angle_beta 90.00
_cell_angle_gamma 90.00
_space_group_name_H-M_alt 'C m c m'
_space_group_IT_number 63
_space_group_name_Hall '-C 2c 2'
loop_
_atom_site_label
_atom_site_type_symbol
_atom_site_fract_x
_atom_site_fract_y
_atom_site_fract_z
_atom_site_occupancy
Pr1 Pr 0.0000 0.1096 0.2500 1
Pu1 Pu 0.0000 0.3693 0.0505 1
Ru1 Ru 0.0000 0.1505 0.7500 1
N1 N 0.0000 0.0000 0.0000 1
N2 N 0.0000 0.2661 0.6145 1
N3 N 0.0000 0.4509 0.2500 1
```

> Among the records above, which one has the highest raw formation energy?

PrPu2N